Entry 1:
Compound: Ni2P2Au
Source: Alexandria
Functional: PBE-GGA
Structure: relaxed

a = 3.518 Å, b = 3.518 Å, c = 6.117 Å
α = 73.29°, β = 73.29°, γ = 90.00°
Fractional positions:
Ni 0.379 0.379 0.242
Ni 0.621 0.621 0.758
Au 0.000 0.000 0.000
P 0.750 0.250 0.500
P 0.250 0.750 0.500

Results
The symmetry is I4/mmm (139). Its formation energy is -0.03 eV per atom. The value obtained for the distance to the lowest polymorph of the same formula is 0.00 eV per formula unit. For the density of states at the Fermi level, the calculation gives 0.536 states/eV per atom.

---

Entry 2:
Compound: NiP2Au
Source: Alexandria
Functional: PBE-GGA
Structure: relaxed

a = 4.372 Å, b = 4.372 Å, c = 4.372 Å
α = 60.00°, β = 60.00°, γ = 60.00°
Fractional positions:
Ni 0.000 0.000 0.000
Au 0.500 0.500 0.500
P 0.250 0.250 0.250
P 0.750 0.750 0.750

Results
The symmetry is Fm-3m (225). Its formation energy is 0.38 eV per atom. The value obtained for the distance to the lowest polymorph of the same formula is 1.86 eV per formula unit. For the density of states at the Fermi level, the calculation gives 0.297 states/eV per atom.

---

Entry 3:
Compound: NiPAu2
Source: Alexandria
Functional: PBE-GGA
Structure: relaxed

a = 5.299 Å, b = 5.299 Å, c = 5.299 Å
α = 144.48°, β = 131.81°, γ = 61.28°
Fractional positions:
Ni 0.472 0.472 0.000
P 0.311 0.811 0.500
Au 0.002 0.002 0.000
Au 0.715 0.215 0.500

Results
The symmetry is Imm2 (44). Its formation energy is 0.10 eV per atom. For the density of states at the Fermi level, the calculation gives 0.543 states/eV per atom.

---

Entry 4:
Compound: NiPAu2
Source: Alexandria
Functional: PBE-GGA
Structure: relaxed

a = 4.582 Å, b = 4.582 Å, c = 3.121 Å
α = 90.00°, β = 90.00°, γ = 106.48°
Fractional positions:
Ni 0.000 0.000 0.500
P 0.500 0.500 0.500
Au 0.500 0.000 0.000
Au 0.000 0.500 0.000

Results
The symmetry is Cmmm (65). Its formation energy is 0.32 eV per atom. For the density of states at the Fermi level, the calculation gives 0.999 states/eV per atom.

---

Entry 5:
Compound: NiP2Au
Source: Alexandria
Functional: PBE-GGA
Structure: relaxed

a = 6.666 Å, b = 6.666 Å, c = 6.666 Å
α = 28.40°, β = 28.40°, γ = 28.40°
Fractional positions:
Au 0.501 0.501 0.501
Ni 0.736 0.736 0.736
P 0.003 0.003 0.003
P 0.261 0.261 0.261

Results
The symmetry is R3m (160). Its formation energy is 0.06 eV per atom. The value obtained for the distance to the lowest polymorph of the same formula is 0.60 eV per formula unit. For the density of states at the Fermi level, the calculation gives 0.552 states/eV per atom.

---

Entry 6:
Compound: NiPAu2
Source: Alexandria
Functional: PBE-GGA
Structure: relaxed

a = 2.839 Å, b = 2.839 Å, c = 7.855 Å
α = 90.00°, β = 90.00°, γ = 90.00°
Fractional positions:
Ni 0.500 0.500 0.000
P 0.500 0.500 0.500
Au 0.000 0.000 0.769
Au 0.000 0.000 0.231

Results
The symmetry is P4/mmm (123). Its formation energy is 0.31 eV per atom. For the density of states at the Fermi level, the calculation gives 0.754 states/eV per atom.

---

Entry 7:
Compound: NiP2Au
Source: Alexandria
Functional: PBE-GGA
Structure: relaxed

a = 4.825 Å, b = 4.825 Å, c = 4.825 Å
α = 141.54°, β = 121.04°, γ = 72.62°
Fractional positions:
Au 0.502 0.502 0.000
Ni 0.212 0.712 0.500
P 0.003 0.003 0.000
P 0.783 0.283 0.500

Results
The symmetry is Imm2 (44). Its formation energy is 0.31 eV per atom. The value obtained for the distance to the lowest polymorph of the same formula is 1.58 eV per formula unit. For the density of states at the Fermi level, the calculation gives 0.480 states/eV per atom.

---

Entry 8:
Compound: NiP2Au
Source: Alexandria
Functional: PBE-GGA
Structure: relaxed

a = 3.803 Å, b = 3.803 Å, c = 7.513 Å
α = 51.64°, β = 51.64°, γ = 54.62°
Fractional positions:
Au 0.250 0.250 0.250
Ni 0.750 0.750 0.750
P 0.928 0.928 0.921
P 0.572 0.572 0.579

Results
The symmetry is C2/m (12). Its formation energy is -0.09 eV per atom. The value obtained for the distance to the lowest polymorph of the same formula is 0.00 eV per formula unit. For the density of states at the Fermi level, the calculation gives 0.255 states/eV per atom.

---

Entry 9:
Compound: NiP2Au
Source: Alexandria
Functional: PBE-GGA
Structure: relaxed

a = 2.693 Å, b = 3.500 Å, c = 6.947 Å
α = 90.00°, β = 90.00°, γ = 90.00°
Fractional positions:
Au 0.000 0.000 0.471
Ni 0.500 0.500 0.941
P 0.000 0.000 0.829
P 0.500 0.500 0.260

Results
The symmetry is Pmm2 (25). Its formation energy is 0.07 eV per atom. The value obtained for the distance to the lowest polymorph of the same formula is 0.64 eV per formula unit. For the density of states at the Fermi level, the calculation gives 0.435 states/eV per atom.

---

Entry 10:
Compound: NiP2Au
Source: Alexandria
Functional: PBE-GGA
Structure: relaxed

a = 2.797 Å, b = 2.797 Å, c = 7.676 Å
α = 90.00°, β = 90.00°, γ = 90.00°
Fractional positions:
Au 0.000 0.000 0.518
Ni 0.500 0.500 0.788
P 0.000 0.000 0.939
P 0.500 0.500 0.255

Results
The symmetry is P4mm (99). Its formation energy is 0.19 eV per atom. The value obtained for the distance to the lowest polymorph of the same formula is 1.13 eV per formula unit. For the density of states at the Fermi level, the calculation gives 0.431 states/eV per atom.

---

Entry 11:
Compound: NiPAu2
Source: Alexandria
Functional: PBE-GGA
Structure: relaxed

a = 7.147 Å, b = 7.147 Å, c = 5.685 Å
α = 51.06°, β = 51.06°, γ = 90.00°
Fractional positions:
Ni 0.000 0.000 0.000
Ni 0.750 0.250 0.500
Au 0.603 0.125 0.250
Au 0.147 0.625 0.250
Au 0.375 0.397 0.750
Au 0.875 0.853 0.750
P 0.500 0.500 0.000
P 0.250 0.750 0.500

Results
The symmetry is I-42d (122). Its formation energy is 0.30 eV per atom. For the density of states at the Fermi level, the calculation gives 0.711 states/eV per atom.

---

Entry 12:
Compound: NiP2Au
Source: Alexandria
Functional: PBE-GGA
Structure: relaxed

a = 2.648 Å, b = 2.648 Å, c = 9.684 Å
α = 90.00°, β = 90.00°, γ = 90.00°
Fractional positions:
Au 0.500 0.500 0.250
Ni 0.500 0.500 0.750
P 0.000 0.000 0.913
P 0.000 0.000 0.587

Results
The symmetry is P4/mmm (123). Its formation energy is 0.17 eV per atom. The value obtained for the distance to the lowest polymorph of the same formula is 1.05 eV per formula unit. For the density of states at the Fermi level, the calculation gives 0.554 states/eV per atom.

---

no.,electronic total energy (eV per atom)
1,-5.165
2,-4.594
3,-4.332
4,-4.117
5,-4.911
6,-4.122
7,-4.664
8,-5.059
9,-4.900
10,-4.776
11,-4.136
12,-4.796